# 1
Here is a relaxed structure of PrNdMo from OQMD. Energies are from PBE-GGA.

Results
**ΔH_f (0 K)**: 1.237 eV/atom

Geometry as CIF:
```
data_PrNdMo
_chemical_formula_sum 'Pr4 Nd4 Mo4'
_cell_length_a 7.020
_cell_length_b 7.020
_cell_length_c 7.020
_cell_angle_alpha 90.00
_cell_angle_beta 90.00
_cell_angle_gamma 90.00
_symmetry_space_group_name_H-M 'F -4 3 m'
_symmetry_Int_Tables_number 216
_symmetry_space_group_name_Hall 'F -4 2 3'
loop_
_atom_site_label
_atom_site_type_symbol
_atom_site_fract_x
_atom_site_fract_y
_atom_site_fract_z
_atom_site_occupancy
Pr1 Pr 0.000 0.000 0.000 1
Nd1 Nd 0.250 0.250 0.750 1
Mo1 Mo 0.000 0.000 0.500 1
```

***

# 2
Here is a relaxed structure of Sm2Sc2CIBr2Cl2 from OQMD. Energies are from PBE-GGA.

Results
**Polymorph energy (0 for the lowest one)**: 0 meV/atom

Geometry as CIF:
```
data_Sm2Sc2CIBr2Cl2
_chemical_formula_sum 'Sm4 Sc4 C2 I2 Br4 Cl4'
_cell_length_a 16.958
_cell_length_b 3.776
_cell_length_c 8.777
_cell_angle_alpha 90.00
_cell_angle_beta 104.19
_cell_angle_gamma 90.00
_symmetry_space_group_name_H-M 'C 1 2/m 1'
_symmetry_Int_Tables_number 12
_symmetry_space_group_name_Hall '-C 2y'
loop_
_atom_site_label
_atom_site_type_symbol
_atom_site_fract_x
_atom_site_fract_y
_atom_site_fract_z
_atom_site_occupancy
Sm1 Sm 0.001 0.000 0.306 1
Sc1 Sc 0.137 0.500 0.565 1
C1 C 0.000 0.500 0.500 1
I1 I 0.000 0.500 0.000 1
Br1 Br 0.177 0.000 0.798 1
Cl1 Cl 0.172 0.000 0.382 1
```

***

# 3
Here is a relaxed structure of Li2Zr2InGaNi2 from OQMD. Energies are from PBE-GGA.

Results
**Uncorrected energy**: -41.4 eV/f.u.

Geometry as CIF:
```
data_Li2Zr2InGaNi2
_chemical_formula_sum 'Li2 Zr2 In1 Ga1 Ni2'
_cell_length_a 4.401
_cell_length_b 4.401
_cell_length_c 6.236
_cell_angle_alpha 90.00
_cell_angle_beta 90.00
_cell_angle_gamma 90.00
_symmetry_space_group_name_H-M 'P -4 m 2'
_symmetry_Int_Tables_number 115
_symmetry_space_group_name_Hall 'P -4 -2'
loop_
_atom_site_label
_atom_site_type_symbol
_atom_site_fract_x
_atom_site_fract_y
_atom_site_fract_z
_atom_site_occupancy
Li1 Li 0.000 0.500 0.239 1
Zr1 Zr 0.000 0.000 0.000 1
Zr2 Zr 0.500 0.500 0.500 1
In1 In 0.000 0.000 0.500 1
Ga1 Ga 0.500 0.500 0.000 1
Ni1 Ni 0.000 0.500 0.761 1
```

***

# 4
Here is a relaxed structure of Pr2CuGe from OQMD. Energies are from PBE-GGA.

Results
**Uncorrected energy**: -19.7 eV/f.u.

Geometry as CIF:
```
data_Pr2CuGe
_chemical_formula_sum 'Pr4 Cu2 Ge2'
_cell_length_a 5.941
_cell_length_b 4.119
_cell_length_c 8.300
_cell_angle_alpha 90.00
_cell_angle_beta 92.96
_cell_angle_gamma 90.00
_symmetry_space_group_name_H-M 'P 1 21/m 1'
_symmetry_Int_Tables_number 11
_symmetry_space_group_name_Hall '-P 2yb'
loop_
_atom_site_label
_atom_site_type_symbol
_atom_site_fract_x
_atom_site_fract_y
_atom_site_fract_z
_atom_site_occupancy
Pr1 Pr 0.130 0.250 0.327 1
Pr2 Pr 0.364 0.250 0.814 1
Cu1 Cu 0.383 0.750 0.532 1
Ge1 Ge 0.138 0.750 0.039 1
```

***

# 5
Here is a relaxed structure of AcFeNi from OQMD. Energies are from PBE-GGA.

Results
**ΔH_f (0 K)**: 0.434 eV/atom
**Polymorph energy (0 for the lowest one)**: 0 meV/atom

Geometry as CIF:
```
data_AcFeNi
_chemical_formula_sum 'Ac4 Fe4 Ni4'
_cell_length_a 6.507
_cell_length_b 6.507
_cell_length_c 6.507
_cell_angle_alpha 90.00
_cell_angle_beta 90.00
_cell_angle_gamma 90.00
_symmetry_space_group_name_H-M 'F -4 3 m'
_symmetry_Int_Tables_number 216
_symmetry_space_group_name_Hall 'F -4 2 3'
loop_
_atom_site_label
_atom_site_type_symbol
_atom_site_fract_x
_atom_site_fract_y
_atom_site_fract_z
_atom_site_occupancy
Ac1 Ac 0.000 0.000 0.000 1
Fe1 Fe 0.000 0.000 0.500 1
Ni1 Ni 0.250 0.250 0.250 1
```

***

# 6
Here is a relaxed structure of HoTmCu2Pb from OQMD. Energies are from PBE-GGA.

Results
**Uncorrected energy**: -22.1 eV/f.u.

Geometry as CIF:
```
data_HoTmCu2Pb
_chemical_formula_sum 'Ho2 Tm2 Cu4 Pb2'
_cell_length_a 3.636
_cell_length_b 4.209
_cell_length_c 13.891
_cell_angle_alpha 90.00
_cell_angle_beta 90.00
_cell_angle_gamma 90.00
_symmetry_space_group_name_H-M 'A m m 2'
_symmetry_Int_Tables_number 38
_symmetry_space_group_name_Hall 'A 2 -2'
loop_
_atom_site_label
_atom_site_type_symbol
_atom_site_fract_x
_atom_site_fract_y
_atom_site_fract_z
_atom_site_occupancy
Ho1 Ho 0.000 0.000 0.000 1
Tm1 Tm 0.000 0.000 0.271 1
Cu1 Cu 0.500 0.000 0.431 1
Cu2 Cu 0.500 0.000 0.838 1
Pb1 Pb 0.500 0.000 0.636 1
```

***

# 7
Here is a relaxed structure of ZrAs from OQMD. Energies are from PBE-GGA.

Results
**Uncorrected energy**: -15.4 eV/f.u.

Geometry as CIF:
```
data_ZrAs
_chemical_formula_sum 'Zr4 As4'
_cell_length_a 5.478
_cell_length_b 5.478
_cell_length_c 5.479
_cell_angle_alpha 90.00
_cell_angle_beta 90.00
_cell_angle_gamma 90.00
_symmetry_space_group_name_H-M 'P n m a'
_symmetry_Int_Tables_number 62
_symmetry_space_group_name_Hall '-P 2ac 2n'
loop_
_atom_site_label
_atom_site_type_symbol
_atom_site_fract_x
_atom_site_fract_y
_atom_site_fract_z
_atom_site_occupancy
Zr1 Zr 0.246 0.250 0.001 1
As1 As 0.246 0.250 0.501 1
```

***

# 8
Here is a relaxed structure of ErZr from OQMD. Energies are from PBE-GGA.

Results
**ΔH_f (0 K)**: 0.055 eV/atom

Geometry as CIF:
```
data_ErZr
_chemical_formula_sum 'Er4 Zr4'
_cell_length_a 6.8279
_cell_length_b 6.8279
_cell_length_c 5.2742
_cell_angle_alpha 90.00
_cell_angle_beta 90.00
_cell_angle_gamma 120.00
_symmetry_space_group_name_H-M 'P -6 m 2'
_symmetry_Int_Tables_number 187
_symmetry_space_group_name_Hall 'P -6 2'
loop_
_atom_site_label
_atom_site_type_symbol
_atom_site_fract_x
_atom_site_fract_y
_atom_site_fract_z
_atom_site_occupancy
Er1 Er 0.0000 0.0000 0.0000 1
Er2 Er 0.3412 0.1706 0.5000 1
Zr1 Zr 0.0251 0.5125 0.0000 1
Zr2 Zr 0.3333 0.6667 0.5000 1
```

***

# 9
Here is a relaxed structure of NdHoPO from OQMD. Energies are from PBE-GGA.

Results
**Polymorph energy (0 for the lowest one)**: 0 meV/atom

Geometry as CIF:
```
data_NdHoPO
_chemical_formula_sum 'Nd2 Ho2 P2 O2'
_cell_length_a 4.268
_cell_length_b 7.385
_cell_length_c 5.996
_cell_angle_alpha 90.00
_cell_angle_beta 90.00
_cell_angle_gamma 90.00
_symmetry_space_group_name_H-M 'P m c 21'
_symmetry_Int_Tables_number 26
_symmetry_space_group_name_Hall 'P 2c -2'
loop_
_atom_site_label
_atom_site_type_symbol
_atom_site_fract_x
_atom_site_fract_y
_atom_site_fract_z
_atom_site_occupancy
Nd1 Nd 0.000 0.197 0.000 1
Ho1 Ho 0.500 0.384 0.573 1
P1 P 0.000 0.181 0.493 1
O1 O 0.500 0.338 0.935 1
```

***

# 10
Here is a relaxed structure of TmAsPtO from OQMD. Energies are from PBE-GGA.

Results
**Polymorph energy (0 for the lowest one)**: 0 meV/atom

Geometry as CIF:
```
data_TmAsPtO
_chemical_formula_sum 'Tm2 As2 Pt2 O2'
_cell_length_a 4.082
_cell_length_b 4.082
_cell_length_c 7.897
_cell_angle_alpha 90.00
_cell_angle_beta 90.00
_cell_angle_gamma 90.00
_symmetry_space_group_name_H-M 'P 4/n m m'
_symmetry_Int_Tables_number 129
loop_
_symmetry_equiv_pos_as_xyz
'x,y,z'
'-x,-y,-z'
'-y+1/2,x,z'
'y+1/2,-x,-z'
'-x+1/2,-y+1/2,z'
'x+1/2,y+1/2,-z'
'y,-x+1/2,z'
'-y,x+1/2,-z'
'x+1/2,-y,-z'
'-x+1/2,y,z'
'-y,-x,-z'
'y,x,z'
'-x,y+1/2,-z'
'x,-y+1/2,z'
'y+1/2,x+1/2,-z'
'-y+1/2,-x+1/2,z'
loop_
_atom_site_label
_atom_site_type_symbol
_atom_site_fract_x
_atom_site_fract_y
_atom_site_fract_z
_atom_site_occupancy
Tm1 Tm 0.250 0.250 0.124 1
As1 As 0.250 0.250 0.687 1
Pt1 Pt 0.250 0.750 0.500 1
O1 O 0.250 0.750 0.000 1
```

***

# 11
Here is a relaxed structure of ScAgPbSe3 from OQMD. Energies are from PBE-GGA.

Results
**Polymorph energy (0 for the lowest one)**: 0 meV/atom

Geometry as CIF:
```
data_ScAgPbSe3
_chemical_formula_sum 'Sc2 Ag2 Pb2 Se6'
_cell_length_a 7.697
_cell_length_b 4.014
_cell_length_c 9.910
_cell_angle_alpha 90.00
_cell_angle_beta 106.83
_cell_angle_gamma 90.00
_symmetry_space_group_name_H-M 'P 1 21/m 1'
_symmetry_Int_Tables_number 11
_symmetry_space_group_name_Hall '-P 2yb'
loop_
_atom_site_label
_atom_site_type_symbol
_atom_site_fract_x
_atom_site_fract_y
_atom_site_fract_z
_atom_site_occupancy
Sc1 Sc 0.194 0.250 0.160 1
Ag1 Ag 0.409 0.750 0.403 1
Pb1 Pb 0.235 0.750 0.708 1
Se1 Se 0.066 0.250 0.872 1
Se2 Se 0.200 0.250 0.448 1
Se3 Se 0.430 0.750 0.147 1
```

***

# 12
Here is a relaxed structure of CsNd2Cl7 from OQMD. Energies are from PBE-GGA.

Results
**Uncorrected energy**: -45.8 eV/f.u.

Geometry as CIF:
```
data_CsNd2Cl7
_chemical_formula_sum 'Cs2 Nd4 Cl14'
_cell_length_a 8.715
_cell_length_b 14.148
_cell_length_c 5.492
_cell_angle_alpha 90.00
_cell_angle_beta 90.00
_cell_angle_gamma 90.00
_symmetry_space_group_name_H-M 'C m m m'
_symmetry_Int_Tables_number 65
_symmetry_space_group_name_Hall '-C 2 2'
loop_
_atom_site_label
_atom_site_type_symbol
_atom_site_fract_x
_atom_site_fract_y
_atom_site_fract_z
_atom_site_occupancy
Cs1 Cs 0.000 0.000 0.000 1
Nd1 Nd 0.000 0.304 0.500 1
Cl1 Cl 0.000 0.291 0.000 1
Cl2 Cl 0.000 0.500 0.500 1
Cl3 Cl 0.188 0.140 0.500 1
```